Record 1
{
  "formula": "TbNi3Sn2",
  "functional": "PBE",
  "state": "relaxed",
  "lattice": [[9.552, 0.000, 0.000], [-4.776, 8.272, 0.000], [0.000, 0.000, 4.061]],
  "species": ["Tb", "Tb", "Tb", "Ni", "Ni", "Ni", "Ni", "Ni", "Ni", "Ni", "Ni", "Ni", "Sn", "Sn", "Sn", "Sn", "Sn", "Sn"],
  "frac_coords": [[0.000, 0.000, 0.000], [0.333, 0.667, 0.500], [0.667, 0.333, 0.500], [0.000, 0.500, 0.000], [0.185, 0.371, 0.000], [0.185, 0.815, 0.000], [0.371, 0.185, 0.000], [0.500, 0.000, 0.000], [0.500, 0.500, 0.000], [0.629, 0.815, 0.000], [0.815, 0.185, 0.000], [0.815, 0.629, 0.000], [0.000, 0.323, 0.500], [0.000, 0.677, 0.500], [0.323, 0.000, 0.500], [0.323, 0.323, 0.500], [0.677, 0.000, 0.500], [0.677, 0.677, 0.500]],
  "final_energy_ev_per_atom": -5.3424,
  "de_polymorph_ev_per_atom": 0.107,
  "e_form_ev_per_atom": -0.35
}

=====

Record 2
{
  "formula": "Tb2NiSn2",
  "functional": "PBE",
  "state": "relaxed",
  "lattice": [[5.478, -2.227, 0.000], [5.478, 2.227, 0.000], [-4.951, 0.000, 9.709]],
  "species": ["Tb", "Tb", "Tb", "Tb", "Ni", "Ni", "Sn", "Sn", "Sn", "Sn"],
  "frac_coords": [[0.001, 0.001, 0.332], [0.184, 0.184, 0.117], [0.816, 0.816, 0.883], [0.999, 0.999, 0.668], [0.283, 0.283, 0.664], [0.717, 0.717, 0.336], [0.339, 0.339, 0.440], [0.474, 0.474, 0.122], [0.526, 0.526, 0.878], [0.661, 0.661, 0.560]],
  "final_energy_ev_per_atom": -5.2912,
  "e_form_ev_per_atom": -0.68
}

=====

Number 1 is which compound? TbNi3Sn2